# 1
DFT (PBE-GGA) results for an optimized crystal structure of UTl2Te2.

- D(E_F) (states/eV/atom) = 0.87
- total energy (eV for the cell shown) = -23.8

Lattice parameters (Å, degrees): 4.104 4.104 11.848 100.11 100.11 59.98
Sites, in units of the cell vectors:
U (0.000, 0.000, 0.000)
Tl (0.204, 0.204, 0.612)
Tl (0.796, 0.796, 0.388)
Te (0.391, 0.391, 0.171)
Te (0.609, 0.609, 0.829)

# 2
DFT (PBE-GGA) results for an optimized crystal structure of UTlTe3.

- relative energy among the computed polymorphs (meV per atom) = 2
- D(E_F) (states/eV/atom) = 1.32
- total energy (eV for the cell shown) = -25.0

Lattice parameters (Å, degrees): 5.867 5.867 5.867 90.00 90.00 90.00
Sites, in units of the cell vectors:
U (0.000, 0.000, 0.000)
Tl (0.500, 0.500, 0.500)
Te (0.000, 0.000, 0.500)
Te (0.000, 0.500, 0.000)
Te (0.500, 0.000, 0.000)

# 3
DFT (PBE-GGA) results for an optimized crystal structure of U6TlTe12.

- D(E_F) (states/eV/atom) = 1.99
- total energy (eV for the cell shown) = -116.5

Lattice parameters (Å, degrees): 9.125 9.125 9.125 105.98 105.98 105.98
Sites, in units of the cell vectors:
U (0.265, 0.265, 0.674)
U (0.265, 0.674, 0.265)
U (0.326, 0.735, 0.735)
U (0.674, 0.265, 0.265)
U (0.735, 0.326, 0.735)
U (0.735, 0.735, 0.326)
Tl (0.000, 0.000, 0.000)
Te (0.126, 0.500, 0.874)
Te (0.126, 0.874, 0.500)
Te (0.168, 0.425, 0.425)
Te (0.425, 0.168, 0.425)
Te (0.425, 0.425, 0.168)
Te (0.500, 0.126, 0.874)
Te (0.500, 0.874, 0.126)
Te (0.575, 0.575, 0.832)
Te (0.575, 0.832, 0.575)
Te (0.832, 0.575, 0.575)
Te (0.874, 0.126, 0.500)
Te (0.874, 0.500, 0.126)

# 4
DFT (PBE-GGA) results for an optimized crystal structure of UTl3V2Te6.

- D(E_F) (states/eV/atom) = 0.33
- total energy (eV for the cell shown) = -60.2

Lattice parameters (Å, degrees): 7.232 7.232 8.541 98.15 98.15 119.81
Sites, in units of the cell vectors:
U (0.000, 0.000, 0.000)
Tl (0.157, 0.843, 0.500)
Tl (0.500, 0.500, 0.500)
Tl (0.843, 0.157, 0.500)
V (0.332, 0.668, 0.000)
V (0.668, 0.332, 0.000)
Te (0.067, 0.423, 0.199)
Te (0.294, 0.294, 0.808)
Te (0.423, 0.067, 0.199)
Te (0.577, 0.933, 0.801)
Te (0.706, 0.706, 0.192)
Te (0.933, 0.577, 0.801)

Number 1: uncorrected formation energy -29.81 kJ/mol of atoms, total magnetic moment 3.0 μB per formula unit. Number 2: uncorrected formation energy -36.64 kJ/mol of atoms, total magnetic moment 1.1 μB per formula unit. Number 3: uncorrected formation energy -44.09 kJ/mol of atoms, total magnetic moment 13.0 μB per formula unit. Number 4: uncorrected formation energy -37.67 kJ/mol of atoms, total magnetic moment 7.0 μB per formula unit.